Here is a relaxed RbBa3 crystal from Alexandria via LeMat-Bulk. Energies are from PBE.

It has space group Fm-3m (No. 225), with a = 10.3280 Å, b = 10.3280 Å, c = 10.3280 Å, α = 90.00°, β = 90.00° and γ = 90.00°. The inequivalent atoms are Rb at (0.0000, 0.0000, 0.0000), Ba at (0.0000, 0.0000, 0.5000) and Ba at (0.2500, 0.2500, 0.2500).

The value obtained for the calculated volume is 68.9 Å³ per atom. For the total magnetic moment, the calculation gives 0.004 μB/cell. The value obtained for the energy above the most stable polymorph in this dataset is 74 meV/atom. The density is 3.00 g/cm3.

Here is a relaxed MgCd2O crystal from Alexandria via LeMat-Bulk. Energies are from PBE.

It has space group I-42d (No. 122), with a = 9.4237 Å, b = 9.4237 Å, c = 3.8125 Å, α = 90.00°, β = 90.00° and γ = 90.00°. The inequivalent atoms are Mg at (0.0000, 0.0000, 0.0000), Cd at (0.1355, 0.2500, 0.6250) and O at (0.0000, 0.0000, 0.5000).

The value obtained for the calculated volume is 21.2 Å³ per atom. For the total magnetic moment, the calculation gives 0.000 μB/cell. As for the formation energy from raw total energies: -622 meV per atom. The value obtained for the energy above the most stable polymorph in this dataset is 0 meV/atom. The density is 5.20 g/cm3.

Here is a relaxed Ag2PPt crystal from Alexandria via LeMat-Bulk. Energies are from PBE.

It has space group I-42d (No. 122), with a = 8.4274 Å, b = 8.4274 Å, c = 4.4993 Å, α = 90.00°, β = 90.00° and γ = 90.00°. The inequivalent atoms are Ag at (0.1506, 0.2500, 0.1250), P at (0.0000, 0.0000, 0.0000) and Pt at (0.0000, 0.0000, 0.5000).

The value obtained for the calculated volume is 20.0 Å³ per atom. For the total magnetic moment, the calculation gives 0.000 μB/cell. The density is 9.18 g/cm3. The total energy comes out at -4.08 eV/atom.

Here is a relaxed Ho4AlTl3 crystal from Alexandria via LeMat-Bulk. Energies are from PBE.

It has space group Pmm2 (No. 25), with a = 4.2743 Å, b = 4.5328 Å, c = 11.3735 Å, α = 90.00°, β = 90.00° and γ = 90.00°. The inequivalent atoms are Ho at (0.0000, 0.0000, 0.0000), Ho at (0.0000, 0.5000, 0.4848), Ho at (0.5000, 0.0000, 0.7187), Ho at (0.5000, 0.5000, 0.2211), Al at (0.0000, 0.0000, 0.2734), Tl at (0.0000, 0.5000, 0.7593), Tl at (0.5000, 0.0000, 0.4396) and Tl at (0.5000, 0.5000, 0.9486).

The value obtained for the calculated volume is 27.5 Å³ per atom. For the total magnetic moment, the calculation gives 0.000 μB/cell. The value obtained for the energy above the most stable polymorph in this dataset is 36 meV/atom. The density is 9.80 g/cm3.

Here is a relaxed OsRh2Cl crystal from Alexandria via LeMat-Bulk. Energies are from PBE.

It has space group Cmm2 (No. 35), with a = 2.7429 Å, b = 4.9161 Å, c = 8.9152 Å, α = 90.00°, β = 90.00° and γ = 90.00°. The inequivalent atoms are Os at (0.0000, 0.0000, 0.0000), Rh at (0.0000, 0.0000, 0.5111), Rh at (0.0000, 0.5000, 0.2523) and Cl at (0.0000, 0.5000, 0.7594).

The value obtained for the calculated volume is 15.0 Å³ per atom. For the total magnetic moment, the calculation gives 0.000 μB/cell. As for the formation energy from raw total energies: 646 meV per atom. The value obtained for the energy above the most stable polymorph in this dataset is 364 meV/atom. The density is 11.92 g/cm3.

Here is a relaxed Cs9Au3O2F crystal from Alexandria via LeMat-Bulk. Energies are from PBE.

It has space group P-3m1 (No. 164), with a = 8.3505 Å, b = 8.3505 Å, c = 10.2575 Å, α = 90.00°, β = 90.00° and γ = 120.00°. The inequivalent atoms are Cs at (0.0000, 0.5000, 0.0000), Cs at (0.1703, 0.3406, 0.3257), Au at (0.0000, 0.0000, 0.0000), Au at (0.3333, 0.6667, 0.6649), O at (0.3333, 0.6667, 0.1777) and F at (0.0000, 0.0000, 0.5000).

The value obtained for the calculated volume is 41.3 Å³ per atom. For the total magnetic moment, the calculation gives 0.000 μB/cell. As for the formation energy from raw total energies: -873 meV per atom. The density is 4.93 g/cm3.

Here is a relaxed SmSn2Hg2 crystal from Alexandria via LeMat-Bulk. Energies are from PBE.

It has space group Cmcm (No. 63), with a = 4.5697 Å, b = 24.7100 Å, c = 4.5191 Å, α = 90.00°, β = 90.00° and γ = 90.00°. The inequivalent atoms are Sm at (0.0000, 0.1467, 0.2500), Sn at (0.0000, 0.2500, 0.7500), Sn at (0.0000, 0.3588, 0.2500), Hg at (0.0000, 0.0454, 0.7500) and Hg at (0.0000, 0.4520, 0.7500).

The value obtained for the calculated volume is 25.5 Å³ per atom. For the total magnetic moment, the calculation gives 0.000 μB/cell. The value obtained for the energy above the most stable polymorph in this dataset is 0 meV/atom. The density is 10.27 g/cm3.

Here is a relaxed Zr2CdRu crystal from Alexandria via LeMat-Bulk. Energies are from PBE.

It has space group R-3m (No. 166, hexagonal axes), with a = 3.2948 Å, b = 3.2948 Å, c = 26.6342 Å, α = 90.00°, β = 90.00° and γ = 120.00°. The inequivalent atoms are Zr at (0.0000, 0.0000, 0.2386), Cd at (0.0000, 0.0000, 0.0000) and Ru at (0.0000, 0.0000, 0.5000).

The value obtained for the calculated volume is 20.9 Å³ per atom. For the total magnetic moment, the calculation gives 0.000 μB/cell. The density is 7.88 g/cm3. The total energy comes out at -6.96 eV/atom.

Here is a relaxed CeCd2Hg2 crystal from Alexandria via LeMat-Bulk. Energies are from PBE.

It has space group I4/mmm (No. 139), with a = 3.9727 Å, b = 3.9727 Å, c = 22.5363 Å, α = 90.00°, β = 90.00° and γ = 90.00°. The inequivalent atoms are Ce at (0.0000, 0.0000, 0.0000), Cd at (0.0000, 0.5000, 0.2500) and Hg at (0.0000, 0.0000, 0.1388).

The value obtained for the calculated volume is 35.6 Å³ per atom. For the total magnetic moment, the calculation gives 5.263 μB/cell. The value obtained for the energy above the most stable polymorph in this dataset is 601 meV/atom. The density is 7.15 g/cm3.

Here is a relaxed Ce8Ge5Se crystal from Alexandria via LeMat-Bulk. Energies are from PBE.

It has space group I-4 (No. 82), with a = 8.9406 Å, b = 8.9406 Å, c = 8.9804 Å, α = 90.00°, β = 90.00° and γ = 90.00°. The inequivalent atoms are Ce at (0.0714, 0.1775, 0.3063), Ce at (0.0755, 0.3208, 0.9469), Ge at (0.0000, 0.5000, 0.2500), Ge at (0.1255, 0.2530, 0.6255) and Se at (0.0000, 0.0000, 0.0000).

The value obtained for the calculated volume is 25.6 Å³ per atom. For the total magnetic moment, the calculation gives 14.573 μB/cell. As for the formation energy from raw total energies: -823 meV per atom. The density is 7.23 g/cm3.

Here is a relaxed Zn2CoH2 crystal from Alexandria via LeMat-Bulk. Energies are from PBE.

It has space group I4/mmm (No. 139), with a = 4.2181 Å, b = 4.2181 Å, c = 5.6640 Å, α = 90.00°, β = 90.00° and γ = 90.00°. The inequivalent atoms are Zn at (0.0000, 0.5000, 0.2500), Co at (0.0000, 0.0000, 0.0000) and H at (0.0000, 0.0000, 0.2738).

The value obtained for the calculated volume is 10.1 Å³ per atom. For the total magnetic moment, the calculation gives 0.000 μB/cell. The value obtained for the energy above the most stable polymorph in this dataset is 98 meV/atom. The density is 6.32 g/cm3.

Here is a relaxed U2BiSb crystal from Alexandria via LeMat-Bulk. Energies are from PBE.

It has space group Fm-3m (No. 225), with a = 7.5507 Å, b = 7.5507 Å, c = 7.5507 Å, α = 90.00°, β = 90.00° and γ = 90.00°. The inequivalent atoms are U at (0.2500, 0.2500, 0.2500), Bi at (0.0000, 0.0000, 0.0000) and Sb at (0.0000, 0.0000, 0.5000).

The value obtained for the calculated volume is 26.9 Å³ per atom. For the total magnetic moment, the calculation gives 23.647 μB/cell. As for the formation energy from raw total energies: -36 meV per atom. The value obtained for the energy above the most stable polymorph in this dataset is 4 meV/atom. The density is 12.45 g/cm3.

- Among the records above, which one has the highest total magnetic moment?
  U2BiSb